{
  "formula": "Ba2Nd2FeCo3O12",
  "functional": "PBE+U",
  "state": "relaxed",
  "dos_at_fermi_per_ev_atom": 0.075,
  "total_energy_ev_per_atom": -6.617,
  "lattice": [[-1.1046, -8.4774, -1.8389], [3.8486, 6.0297, -5.0298], [3.5004, -0.8231, 1.6917]],
  "species": ["O", "O", "O", "O", "O", "Ba", "O", "O", "O", "O", "Co", "O", "Nd", "Fe", "Co", "O", "Ba", "Co", "O", "Nd"],
  "frac_coords": [[0.1441, 0.3701, 0.5000], [0.3533, 0.1253, 0.5000], [0.8828, 0.1172, 0.0000], [0.1089, 0.8911, 0.0000], [0.3933, 0.6067, 0.0000], [0.0061, 0.5070, 0.0000], [0.9996, 0.0004, 0.5000], [0.2478, 0.7522, 0.5000], [0.5053, 0.4947, 0.5000], [0.7438, 0.2562, 0.5000], [0.3792, 0.6208, 0.5000], [0.6114, 0.3886, 0.0000], [0.7496, 0.7468, 0.0000], [0.8767, 0.1233, 0.5000], [0.1228, 0.8772, 0.5000], [0.8747, 0.6467, 0.5000], [0.4930, 0.9939, 0.0000], [0.6247, 0.3753, 0.5000], [0.6299, 0.8559, 0.5000], [0.2532, 0.2504, 0.0000]]
}